The following is a PBE calculation of OsRuRh2 after structural relaxation, from Alexandria via LeMat-Bulk.

a = 2.700 Å, b = 2.700 Å, c = 7.756 Å
α = 90.00°, β = 90.00°, γ = 90.00°
Space group P4/mmm (No. 123)
Asymmetric unit:
Os 0.000 0.000 0.000 [1 per cell]
Ru 0.000 0.000 0.500 [1 per cell]
Rh 0.500 0.500 0.249 [2 per cell]

- calculated formation energy (kJ per mole of atoms) = 10
- E above lowest polymorph (meV per atom) = 55.9
- calculated total energy (eV/atom) = -8.70